Entry 1:
LaDyZr: relaxed, PBE-GGA.

Results
energy	-5.9102	eV/atom
SG	P4/nmm (129)
crystal system	tetragonal

```
LaDyZr
1.0
3.925 0.000 0.000
0.000 3.925 0.000
0.000 0.000 11.849
Dy La Zr
2 2 2
Direct
0.000 0.500 0.589
0.500 0.000 0.411
0.500 0.000 0.780
0.000 0.500 0.220
0.000 0.500 0.948
0.500 0.000 0.052
```

---

Entry 2:
LaDy14Zr: relaxed, PBE-GGA.

Results
energy	-4.8289	eV/atom
SG	P4/mmm (123)
crystal system	tetragonal

```
LaDy14Zr
1.0
-0.924 0.517 -6.990
4.806 -5.085 -1.011
-7.173 -6.867 0.440
La Dy Zr
1 14 1
Direct
0.375 0.625 0.000
0.375 0.625 0.500
0.875 0.125 0.500
0.875 0.625 0.000
0.875 0.625 0.500
0.375 0.125 0.000
0.375 0.125 0.500
0.631 0.881 0.754
0.631 0.881 0.246
0.119 0.369 0.754
0.119 0.369 0.246
0.119 0.881 0.754
0.119 0.881 0.246
0.631 0.369 0.754
0.631 0.369 0.246
0.875 0.125 0.000
```

---

Entry 3:
LiDy: relaxed, PBE-GGA.

Results
energy	-3.1024	eV/atom
SG	Pm-3m (221)
crystal system	cubic

```
LiDy
1.0
3.706 0.000 0.000
0.000 3.706 0.000
0.000 0.000 3.706
Li Dy
1 1
Direct
0.500 0.500 0.500
0.000 0.000 0.000
```

---

Entry 4:
Li4Dy: relaxed, PBE-GGA.

Results
energy	-1.4965	eV/atom
SG	Pm-3m (221)
crystal system	cubic

```
Li4Dy
1.0
5.718 0.000 0.000
0.000 5.718 0.000
0.000 0.000 5.718
Li Dy
4 1
Direct
0.000 0.000 0.000
0.500 0.000 0.500
0.000 0.500 0.500
0.500 0.500 0.000
0.500 0.500 0.500
```

---

no.,DFT formation energy (eV per atom)
1,0.116
2,0.040
3,0.156
4,0.955